LiRuBr2 | PBE-GGA | relaxed

Calculated values
Magnetization, μB per formula unit: 3.00
Space-group type: R-3m (166)
Formation energy without anion corrections, eV per atom: -0.12

Cell: 3.721 3.721 7.285 Å, 75.20 75.20 59.97°
Element x y z (fractional)
Br  0.995  0.995  0.014
Br  0.505  0.505  0.486
Li  0.250  0.250  0.250
Ru  0.750  0.750  0.750